DFT (PBE with a Hubbard U) results for an optimized crystal structure of CsVSn2F8.

Properties
The calculation puts the density of states at the Fermi level at 0.00 states/eV/cell. The total energy comes out at -5.175 eV/atom.

Cell: 5.4306 5.2015 8.3559 Å, 86.78 83.98 86.87°
With the nearest neighbours (Å) after each atom.
Positions (direct):
F: 0.5928 0.7211 0.4076  1 Sn 2.07
F: 0.8718 0.2392 0.1686  1 V 1.98
F: 0.7166 0.7628 0.0621  1 V 2.03, 1 Sn 2.15
F: 0.1282 0.7608 0.8314  1 V 1.98
F: 0.4072 0.2789 0.5924  1 Sn 2.07
F: 0.8077 0.1843 0.8371  1 V 1.98
F: 0.2834 0.2372 0.9379  1 V 2.03, 1 Sn 2.15
F: 0.1923 0.8157 0.1629  1 V 1.98
Cs: 0.0000 0.0000 0.5000  6 F 2.90-3.10
V: 0.0000 0.0000 0.0000  6 F 1.98-2.03
Sn: 0.5011 0.5050 0.2244  2 F 2.07-2.15
Sn: 0.4989 0.4950 0.7756  2 F 2.07-2.15